(1)
# PrSmCdIr (PBE, optimized geometry)
# **Density of states at the Fermi level**: 0.56 states/eV/atom
# **Formation energy from the elements**: -420 meV/atom
data_PrSmCdIr
_chemical_formula_sum 'Pr4 Sm4 Cd4 Ir4'
_space_group_name_H-M_alt 'F -4 3 m'
_space_group_IT_number 216
_space_group_name_Hall 'F -4 2 3'
_cell_length_a 7.347
_cell_length_b 7.347
_cell_length_c 7.347
_cell_angle_alpha 90.00
_cell_angle_beta 90.00
_cell_angle_gamma 90.00
loop_
_atom_site_label
_atom_site_type_symbol
_atom_site_fract_x
_atom_site_fract_y
_atom_site_fract_z
_atom_site_occupancy
Pr1 Pr 0.000 0.000 0.000 1
Sm1 Sm 0.000 0.000 0.500 1
Cd1 Cd 0.250 0.250 0.250 1
Ir1 Ir 0.250 0.250 0.750 1

***

(2)
# Al3SeO (PBE, optimized geometry)
# **Density of states at the Fermi level**: 0.51 states/eV/atom
# **Formation energy from raw total energies**: -0.244 eV/atom
# **Relative energy among the computed polymorphs**: 0.0000 eV per atom
data_Al3SeO
_chemical_formula_sum 'Al3 Se1 O1'
_space_group_name_H-M_alt 'P m -3 m'
_space_group_IT_number 221
_space_group_name_Hall '-P 4 2 3'
_cell_length_a 4.374
_cell_length_b 4.374
_cell_length_c 4.374
_cell_angle_alpha 90.00
_cell_angle_beta 90.00
_cell_angle_gamma 90.00
loop_
_atom_site_label
_atom_site_type_symbol
_atom_site_fract_x
_atom_site_fract_y
_atom_site_fract_z
_atom_site_occupancy
Al1 Al 0.000 0.000 0.500 1
Se1 Se 0.500 0.500 0.500 1
O1 O 0.000 0.000 0.000 1

***

(3)
# HfNbCo (PBE, optimized geometry)
# **Density of states at the Fermi level**: 0.71 states/eV/atom
# **Relative energy among the computed polymorphs**: 0.0788 eV per atom
# **Formation energy from the elements**: -148 meV/atom
data_HfNbCo
_chemical_formula_sum 'Hf2 Nb2 Co2'
_space_group_name_H-M_alt 'I 4 m m'
_space_group_IT_number 107
_space_group_name_Hall 'I 4 -2'
_cell_length_a 3.146
_cell_length_b 3.146
_cell_length_c 10.127
_cell_angle_alpha 90.00
_cell_angle_beta 90.00
_cell_angle_gamma 90.00
loop_
_atom_site_label
_atom_site_type_symbol
_atom_site_fract_x
_atom_site_fract_y
_atom_site_fract_z
_atom_site_occupancy
Hf1 Hf 0.000 0.000 0.000 1
Nb1 Nb 0.000 0.000 0.695 1
Co1 Co 0.000 0.000 0.341 1

***

(4)
# MnAu2 (PBE, optimized geometry)
# **Density of states at the Fermi level**: 0.45 states/eV/atom
# **Relative energy among the computed polymorphs**: 0.2249 eV per atom
# **Formation energy from the elements**: 123 meV/atom
data_MnAu2
_chemical_formula_sum 'Mn4 Au8'
_space_group_name_H-M_alt 'F m -3 m'
_space_group_IT_number 225
_space_group_name_Hall '-F 4 2 3'
_cell_length_a 6.193
_cell_length_b 6.193
_cell_length_c 6.193
_cell_angle_alpha 90.00
_cell_angle_beta 90.00
_cell_angle_gamma 90.00
loop_
_atom_site_label
_atom_site_type_symbol
_atom_site_fract_x
_atom_site_fract_y
_atom_site_fract_z
_atom_site_occupancy
Mn1 Mn 0.000 0.000 0.000 1
Au1 Au 0.250 0.250 0.250 1

***

(5)
# Hf2TiFe4 (PBE, optimized geometry)
# **Density of states at the Fermi level**: 1.16 states/eV/atom
# **Formation energy from the elements**: 216 meV/atom
data_Hf2TiFe4
_chemical_formula_sum 'Hf2 Ti1 Fe4'
_space_group_name_H-M_alt 'P 4/m m m'
_space_group_IT_number 123
_space_group_name_Hall '-P 4 2'
_cell_length_a 4.288
_cell_length_b 4.288
_cell_length_c 5.940
_cell_angle_alpha 90.00
_cell_angle_beta 90.00
_cell_angle_gamma 90.00
loop_
_atom_site_label
_atom_site_type_symbol
_atom_site_fract_x
_atom_site_fract_y
_atom_site_fract_z
_atom_site_occupancy
Hf1 Hf 0.000 0.000 0.000 1
Hf2 Hf 0.500 0.500 0.500 1
Ti1 Ti 0.000 0.000 0.500 1
Fe1 Fe 0.000 0.500 0.253 1

***

(6)
# PuFe2Si2 (PBE, optimized geometry)
# **Density of states at the Fermi level**: 2.36 states/eV/atom
# **Formation energy from raw total energies**: -0.359 eV/atom
data_PuFe2Si2
_chemical_formula_sum 'Pu4 Fe8 Si8'
_space_group_name_H-M_alt 'I 4/m m m'
_space_group_IT_number 139
_space_group_name_Hall '-I 4 2'
_cell_length_a 3.813
_cell_length_b 3.813
_cell_length_c 20.687
_cell_angle_alpha 90.00
_cell_angle_beta 90.00
_cell_angle_gamma 90.00
loop_
_atom_site_label
_atom_site_type_symbol
_atom_site_fract_x
_atom_site_fract_y
_atom_site_fract_z
_atom_site_occupancy
Pu1 Pu 0.000 0.000 0.133 1
Fe1 Fe 0.000 0.000 0.318 1
Fe2 Fe 0.000 0.500 0.000 1
Si1 Si 0.000 0.000 0.431 1
Si2 Si 0.000 0.500 0.250 1

***

(7)
# ErPa3Sn12 (PBE, optimized geometry)
# **Density of states at the Fermi level**: 0.93 states/eV/atom
# **Formation energy from the elements**: -320 meV/atom
data_ErPa3Sn12
_chemical_formula_sum 'Er1 Pa3 Sn12'
_space_group_name_H-M_alt 'P 4/m m m'
_space_group_IT_number 123
_space_group_name_Hall '-P 4 2'
_cell_length_a 4.675
_cell_length_b 4.675
_cell_length_c 18.474
_cell_angle_alpha 90.00
_cell_angle_beta 90.00
_cell_angle_gamma 90.00
loop_
_atom_site_label
_atom_site_type_symbol
_atom_site_fract_x
_atom_site_fract_y
_atom_site_fract_z
_atom_site_occupancy
Er1 Er 0.000 0.000 0.000 1
Pa1 Pa 0.000 0.000 0.253 1
Pa2 Pa 0.000 0.000 0.500 1
Sn1 Sn 0.000 0.500 0.126 1
Sn2 Sn 0.000 0.500 0.376 1
Sn3 Sn 0.500 0.500 0.000 1
Sn4 Sn 0.500 0.500 0.250 1
Sn5 Sn 0.500 0.500 0.500 1

***

(8)
# AlCu3S (PBE, optimized geometry)
# **Density of states at the Fermi level**: 0.43 states/eV/atom
# **Formation energy from raw total energies**: 0.394 eV/atom
# **Relative energy among the computed polymorphs**: 0.0000 eV per atom
data_AlCu3S
_chemical_formula_sum 'Al1 Cu3 S1'
_space_group_name_H-M_alt 'P m -3 m'
_space_group_IT_number 221
_space_group_name_Hall '-P 4 2 3'
_cell_length_a 4.415
_cell_length_b 4.415
_cell_length_c 4.415
_cell_angle_alpha 90.00
_cell_angle_beta 90.00
_cell_angle_gamma 90.00
loop_
_atom_site_label
_atom_site_type_symbol
_atom_site_fract_x
_atom_site_fract_y
_atom_site_fract_z
_atom_site_occupancy
Al1 Al 0.000 0.000 0.000 1
Cu1 Cu 0.000 0.500 0.500 1
S1 S 0.500 0.500 0.500 1

***

(9)
# ZnCrSb2 (PBE, optimized geometry)
# **Density of states at the Fermi level**: 0.90 states/eV/atom
# **Formation energy from raw total energies**: 0.356 eV/atom
data_ZnCrSb2
_chemical_formula_sum 'Zn3 Cr3 Sb6'
_space_group_name_H-M_alt 'R 3 m'
_space_group_IT_number 160
_space_group_name_Hall 'R 3 -2"'
_cell_length_a 3.2894
_cell_length_b 3.2894
_cell_length_c 28.9038
_cell_angle_alpha 90.00
_cell_angle_beta 90.00
_cell_angle_gamma 120.00
loop_
_atom_site_label
_atom_site_type_symbol
_atom_site_fract_x
_atom_site_fract_y
_atom_site_fract_z
_atom_site_occupancy
Zn1 Zn 0.0000 0.0000 0.0000 1
Cr1 Cr 0.0000 0.0000 0.7338 1
Sb1 Sb 0.0000 0.0000 0.2575 1
Sb2 Sb 0.0000 0.0000 0.4731 1

***

(10)
# LiZn2In2Au5 (PBE, optimized geometry)
# **Density of states at the Fermi level**: 0.40 states/eV/atom
# **Formation energy from the elements**: -204 meV/atom
data_LiZn2In2Au5
_chemical_formula_sum 'Li2 Zn4 In4 Au10'
_space_group_name_H-M_alt 'P 4/m b m'
_space_group_IT_number 127
_space_group_name_Hall '-P 4 2ab'
_cell_length_a 9.997
_cell_length_b 9.997
_cell_length_c 3.763
_cell_angle_alpha 90.00
_cell_angle_beta 90.00
_cell_angle_gamma 90.00
loop_
_atom_site_label
_atom_site_type_symbol
_atom_site_fract_x
_atom_site_fract_y
_atom_site_fract_z
_atom_site_occupancy
Li1 Li 0.000 0.000 0.000 1
Zn1 Zn 0.138 0.362 0.000 1
In1 In 0.173 0.673 0.000 1
Au1 Au 0.000 0.500 0.500 1
Au2 Au 0.016 0.203 0.500 1

***

(11)
# Pr3YTh2Sb6 (PBE, optimized geometry)
# **Density of states at the Fermi level**: 0.40 states/eV/atom
# **Formation energy from raw total energies**: -1.107 eV/atom
data_Pr3YTh2Sb6
_chemical_formula_sum 'Pr6 Y2 Th4 Sb12'
_space_group_name_H-M_alt 'C 1 2/m 1'
_space_group_IT_number 12
_space_group_name_Hall '-C 2y'
_cell_length_a 19.697
_cell_length_b 4.519
_cell_length_c 9.028
_cell_angle_alpha 90.00
_cell_angle_beta 103.48
_cell_angle_gamma 90.00
loop_
_atom_site_label
_atom_site_type_symbol
_atom_site_fract_x
_atom_site_fract_y
_atom_site_fract_z
_atom_site_occupancy
Pr1 Pr 0.000 0.000 0.000 1
Pr2 Pr 0.167 0.500 0.334 1
Y1 Y 0.000 0.000 0.500 1
Th1 Th 0.165 0.500 0.831 1
Sb1 Sb 0.000 0.500 0.257 1
Sb2 Sb 0.164 0.000 0.584 1
Sb3 Sb 0.168 0.000 0.081 1

***

(12)
# MgTl (PBE, optimized geometry)
# **Density of states at the Fermi level**: 0.40 states/eV/atom
# **Formation energy from the elements**: -33 meV/atom
data_MgTl
_chemical_formula_sum 'Mg1 Tl1'
_space_group_name_H-M_alt 'P 4/m m m'
_space_group_IT_number 123
_space_group_name_Hall '-P 4 2'
_cell_length_a 3.544
_cell_length_b 3.544
_cell_length_c 3.973
_cell_angle_alpha 90.00
_cell_angle_beta 90.00
_cell_angle_gamma 90.00
loop_
_atom_site_label
_atom_site_type_symbol
_atom_site_fract_x
_atom_site_fract_y
_atom_site_fract_z
_atom_site_occupancy
Mg1 Mg 0.000 0.000 0.000 1
Tl1 Tl 0.500 0.500 0.500 1

***

(13)
# PmTcAs2 (PBE, optimized geometry)
# **Density of states at the Fermi level**: 0.21 states/eV/atom
# **Relative energy among the computed polymorphs**: 0.2643 eV per atom
# **Formation energy from the elements**: -412 meV/atom
data_PmTcAs2
_chemical_formula_sum 'Pm4 Tc4 As8'
_space_group_name_H-M_alt 'F m -3 m'
_space_group_IT_number 225
_space_group_name_Hall '-F 4 2 3'
_cell_length_a 6.708
_cell_length_b 6.708
_cell_length_c 6.708
_cell_angle_alpha 90.00
_cell_angle_beta 90.00
_cell_angle_gamma 90.00
loop_
_atom_site_label
_atom_site_type_symbol
_atom_site_fract_x
_atom_site_fract_y
_atom_site_fract_z
_atom_site_occupancy
Pm1 Pm 0.000 0.000 0.000 1
Tc1 Tc 0.000 0.000 0.500 1
As1 As 0.250 0.250 0.250 1

***

(14)
# Mn4Be5 (PBE, optimized geometry)
# **Density of states at the Fermi level**: 0.59 states/eV/atom
# **Formation energy from the elements**: -53 meV/atom
data_Mn4Be5
_chemical_formula_sum 'Mn8 Be10'
_space_group_name_H-M_alt 'I 4/m m m'
_space_group_IT_number 139
_space_group_name_Hall '-I 4 2'
_cell_length_a 7.639
_cell_length_b 7.639
_cell_length_c 2.857
_cell_angle_alpha 90.00
_cell_angle_beta 90.00
_cell_angle_gamma 90.00
loop_
_atom_site_label
_atom_site_type_symbol
_atom_site_fract_x
_atom_site_fract_y
_atom_site_fract_z
_atom_site_occupancy
Mn1 Mn 0.000 0.319 0.000 1
Be1 Be 0.000 0.000 0.000 1
Be2 Be 0.172 0.172 0.500 1

***

(15)
# Tl2RuSe (PBE, optimized geometry)
# **Density of states at the Fermi level**: 0.06 states/eV/atom
# **Formation energy from raw total energies**: 0.699 eV/atom
# **Relative energy among the computed polymorphs**: 0.6249 eV per atom
data_Tl2RuSe
_chemical_formula_sum 'Tl8 Ru4 Se4'
_space_group_name_H-M_alt 'I -4 2 d'
_space_group_IT_number 122
_space_group_name_Hall 'I -4 2bw'
_cell_length_a 6.348
_cell_length_b 6.348
_cell_length_c 12.878
_cell_angle_alpha 90.00
_cell_angle_beta 90.00
_cell_angle_gamma 90.00
loop_
_atom_site_label
_atom_site_type_symbol
_atom_site_fract_x
_atom_site_fract_y
_atom_site_fract_z
_atom_site_occupancy
Tl1 Tl 0.219 0.250 0.125 1
Ru1 Ru 0.000 0.000 0.000 1
Se1 Se 0.000 0.000 0.500 1

***

(16)
# TbPr5Ho2Tm (PBE, optimized geometry)
# **Density of states at the Fermi level**: 1.59 states/eV/atom
# **Formation energy from the elements**: 140 meV/atom
data_TbPr5Ho2Tm
_chemical_formula_sum 'Tb4 Pr20 Ho8 Tm4'
_space_group_name_H-M_alt 'C m c 21'
_space_group_IT_number 36
_space_group_name_Hall 'C 2c -2'
_cell_length_a 5.646
_cell_length_b 20.602
_cell_length_c 10.757
_cell_angle_alpha 90.00
_cell_angle_beta 90.00
_cell_angle_gamma 90.00
loop_
_atom_site_label
_atom_site_type_symbol
_atom_site_fract_x
_atom_site_fract_y
_atom_site_fract_z
_atom_site_occupancy
Tb1 Tb 0.000 0.198 0.000 1
Pr1 Pr 0.000 0.015 0.004 1
Pr2 Pr 0.000 0.279 0.303 1
Pr3 Pr 0.000 0.296 0.696 1
Pr4 Pr 0.000 0.383 0.009 1
Pr5 Pr 0.000 0.486 0.735 1
Ho1 Ho 0.000 0.112 0.730 1
Ho2 Ho 0.000 0.114 0.293 1
Tm1 Tm 0.000 0.406 0.457 1

***

(17)
# PrGdY2 (PBE, optimized geometry)
# **Density of states at the Fermi level**: 1.80 states/eV/atom
# **Relative energy among the computed polymorphs**: 0.0095 eV per atom
# **Formation energy from the elements**: 27 meV/atom
data_PrGdY2
_chemical_formula_sum 'Pr1 Gd1 Y2'
_space_group_name_H-M_alt 'P 4/m m m'
_space_group_IT_number 123
_space_group_name_Hall '-P 4 2'
_cell_length_a 3.626
_cell_length_b 3.626
_cell_length_c 10.155
_cell_angle_alpha 90.00
_cell_angle_beta 90.00
_cell_angle_gamma 90.00
loop_
_atom_site_label
_atom_site_type_symbol
_atom_site_fract_x
_atom_site_fract_y
_atom_site_fract_z
_atom_site_occupancy
Pr1 Pr 0.000 0.000 0.000 1
Gd1 Gd 0.000 0.000 0.500 1
Y1 Y 0.500 0.500 0.254 1

***

(18)
# Pm5Sn2H (PBE, optimized geometry)
# **Density of states at the Fermi level**: 0.98 states/eV/atom
# **Electronic total energy**: -76.6 eV/cell
data_Pm5Sn2H
_chemical_formula_sum 'Pm10 Sn4 H2'
_space_group_name_H-M_alt 'I 4 m m'
_space_group_IT_number 107
_space_group_name_Hall 'I 4 -2'
_cell_length_a 7.085
_cell_length_b 7.085
_cell_length_c 9.052
_cell_angle_alpha 90.00
_cell_angle_beta 90.00
_cell_angle_gamma 90.00
loop_
_atom_site_label
_atom_site_type_symbol
_atom_site_fract_x
_atom_site_fract_y
_atom_site_fract_z
_atom_site_occupancy
Pm1 Pm 0.000 0.000 0.000 1
Pm2 Pm 0.250 0.250 0.245 1
Sn1 Sn 0.000 0.500 0.496 1
H1 H 0.000 0.000 0.258 1

***

(19)
# InPt2Rh2 (PBE, optimized geometry)
# **Density of states at the Fermi level**: 1.64 states/eV/atom
# **Relative energy among the computed polymorphs**: 0.0818 eV per atom
# **Formation energy from the elements**: 51 meV/atom
data_InPt2Rh2
_chemical_formula_sum 'In2 Pt4 Rh4'
_space_group_name_H-M_alt 'P 4/m b m'
_space_group_IT_number 127
_space_group_name_Hall '-P 4 2ab'
_cell_length_a 7.015
_cell_length_b 7.015
_cell_length_c 3.479
_cell_angle_alpha 90.00
_cell_angle_beta 90.00
_cell_angle_gamma 90.00
loop_
_atom_site_label
_atom_site_type_symbol
_atom_site_fract_x
_atom_site_fract_y
_atom_site_fract_z
_atom_site_occupancy
In1 In 0.000 0.000 0.000 1
Pt1 Pt 0.137 0.363 0.000 1
Rh1 Rh 0.154 0.654 0.500 1

***

(20)
# Zn2CuTc (PBE, optimized geometry)
# **Density of states at the Fermi level**: 0.44 states/eV/atom
# **Relative energy among the computed polymorphs**: 0.1117 eV per atom
# **Formation energy from the elements**: 117 meV/atom
data_Zn2CuTc
_chemical_formula_sum 'Zn4 Cu2 Tc2'
_space_group_name_H-M_alt 'I m m m'
_space_group_IT_number 71
_space_group_name_Hall '-I 2 2'
_cell_length_a 2.744
_cell_length_b 4.533
_cell_length_c 8.802
_cell_angle_alpha 90.00
_cell_angle_beta 90.00
_cell_angle_gamma 90.00
loop_
_atom_site_label
_atom_site_type_symbol
_atom_site_fract_x
_atom_site_fract_y
_atom_site_fract_z
_atom_site_occupancy
Zn1 Zn 0.000 0.000 0.236 1
Cu1 Cu 0.000 0.500 0.500 1
Tc1 Tc 0.000 0.500 0.000 1

***

no.,total magnetic moment (μB per cell),calculated density (g/cm³)
1,0.0,9.981
2,0.0,3.491
3,0.0,10.943
4,17.2,12.552
5,3.1,9.553
6,21.3,9.094
7,0.0,9.396
8,0.0,4.818
9,10.2,6.638
10,0.0,11.943
11,0.0,7.253
12,0.0,7.612
13,0.0,8.646
14,7.8,5.274
15,0.0,7.536
16,0.0,7.232
17,7.3,5.919
18,0.0,7.040
19,0.0,13.790
20,0.0,8.867